A relaxed structure of RbZrGa2Fe. Source: the Alexandria database, functional GGA-PBE.

Results
The energy of formation from the pure elements comes out at 298 kJ/mol of formula units.

Cell lengths 5.500, 5.500, 4.842 Å; angles 90.00, 90.00, 90.00 degrees
Space group P4/mmm (No. 123)
Symmetry-distinct sites (fractional):
Rb  0.000  0.000  0.000 (multiplicity 1)
Zr  0.500  0.500  0.500 (multiplicity 1)
Ga  0.000  0.500  0.500 (multiplicity 2)
Fe  0.500  0.500  0.000 (multiplicity 1)

A relaxed structure of Ga2Fe2Re. Source: the Alexandria database, functional GGA-PBE.

Results
The energy above the lowest structure with this stoichiometry comes out at 0.000 eV/atom. The energy of formation from the pure elements comes out at 66 kJ/mol of formula units.

Cell lengths 6.853, 6.853, 2.824 Å; angles 90.00, 90.00, 90.00 degrees
Space group P4/mbm (No. 127)
Symmetry-distinct sites (fractional):
Ga  0.137  0.363  0.000 (multiplicity 4)
Fe  0.162  0.662  0.500 (multiplicity 4)
Re  0.000  0.000  0.000 (multiplicity 2)